(1)
Below is a relaxed MgWSeBr2 crystal, with properties calculated at the PBE level.

The calculated density comes out at 5.4 Mg/m³. As for the energy relative to the elements, uncorrected: 0.2003 eV per atom. The value obtained for the density of states at the Fermi level is 3.18 states/eV/cell. The calculation puts the energy above the lowest structure with this stoichiometry at 0 meV/atom. The size of the total moment comes out at 0.36 μB/atom. The electronic total energy is -4.075 eV per atom.

The structure belongs to space group P4/mmm (No. 123); the cell edges are 5.287, 5.287 and 4.885 Å and the angles 90.00°, 90.00° and 90.00°. The distinct sites, in fractional coordinates, are Mg at (0.000, 0.000, 0.000), W at (0.500, 0.500, 0.500), Se at (0.500, 0.500, 0.000) and Br at (0.000, 0.500, 0.500).

(2)
Below is a relaxed MgWSeBr2 crystal, with properties calculated at the PBE level.

The calculated density comes out at 5.6 Mg/m³. As for the energy relative to the elements, uncorrected: 0.6167 eV per atom. The value obtained for the density of states at the Fermi level is 5.00 states/eV/cell. The calculation puts the energy above the lowest structure with this stoichiometry at 416 meV/atom. The size of the total moment comes out at 0.80 μB/atom. The electronic total energy is -3.659 eV per atom.

The structure belongs to space group P4/mmm (No. 123); the cell edges are 4.918, 4.918 and 5.503 Å and the angles 90.00°, 90.00° and 90.00°. The distinct sites, in fractional coordinates, are Mg at (0.000, 0.000, 0.000), W at (0.500, 0.500, 0.500), Se at (0.000, 0.000, 0.500) and Br at (0.000, 0.500, 0.000).

(3)
Below is a relaxed YMgSeBr2 crystal, with properties calculated at the PBE level.

The calculated density comes out at 4.3 Mg/m³. As for the energy relative to the elements, uncorrected: -0.8836 eV per atom. The value obtained for the density of states at the Fermi level is 3.44 states/eV/cell. The calculation puts the energy above the lowest structure with this stoichiometry at 156 meV/atom. The size of the total moment comes out at 0.17 μB/atom. The electronic total energy is -3.861 eV per atom.

The structure belongs to space group P4/mmm (No. 123); the cell edges are 5.020, 5.020 and 5.335 Å and the angles 90.00°, 90.00° and 90.00°. The distinct sites, in fractional coordinates, are Y at (0.000, 0.000, 0.000), Mg at (0.500, 0.500, 0.500), Se at (0.500, 0.500, 0.000) and Br at (0.000, 0.500, 0.500).